1.
Density functional theory data (GGA-PBE) for an optimized crystal structure of Tb4CeDy.

Size of the total moment (μB/atom): 0.248
Formation energy from the elements (meV/atom): 273

Lattice parameters (Å, degrees): 6.635 11.531 8.349 133.67 113.41 90.00
Site moments in Bohr magnetons follow the coordinates.
Positions (direct):
Tb  0.834  0.333  0.667  0.07
Tb  0.168  0.668  0.835  0.08
Tb  0.832  0.332  0.165  0.08
Tb  0.834  0.834  0.667  0.07
Tb  0.166  0.667  0.333  0.07
Tb  0.166  0.166  0.333  0.07
Tb  0.333  0.332  0.165  0.08
Tb  0.667  0.668  0.835  0.08
Ce  0.500  0.500  0.000  0.80
Ce  0.500  0.000  0.000  0.80
Dy  0.500  0.000  0.500  0.07
Dy  0.000  0.000  0.500  0.07

---

2.
Density functional theory data (GGA-PBE) for an optimized crystal structure of Tb8CeDy3.

Size of the total moment (μB/atom): 0.000
Formation energy from the elements (meV/atom): 613

Lattice parameters (Å, degrees): 8.325 8.325 8.325 94.22 117.60 117.60
Positions (direct):
Ce  0.000  0.000  0.000
Tb  0.532  0.739  0.739
Tb  0.249  0.362  0.362
Tb  0.000  0.886  0.638
Tb  0.000  0.261  0.793
Tb  0.000  0.793  0.261
Tb  0.000  0.638  0.886
Tb  0.751  0.114  0.114
Tb  0.468  0.207  0.207
Dy  0.500  0.250  0.750
Dy  0.000  0.500  0.500
Dy  0.500  0.750  0.250

---

3.
Density functional theory data (GGA-PBE) for an optimized crystal structure of Tb5Ce2Dy4.

Size of the total moment (μB/atom): 0.154
Formation energy from the elements (meV/atom): 108

Lattice parameters (Å, degrees): 3.491 11.672 8.720 96.87 90.00 81.38
Site moments in Bohr magnetons follow the coordinates.
Positions (direct):
Tb  0.038  0.924  0.650  0.03
Tb  0.764  0.472  0.820  0.01
Tb  0.962  0.076  0.350  0.03
Tb  0.500  0.000  0.000  -0.03
Tb  0.236  0.528  0.180  0.01
Dy  0.599  0.802  0.300  0.01
Dy  0.131  0.738  0.943  0.00
Dy  0.401  0.198  0.700  0.01
Dy  0.869  0.262  0.057  0.00
Ce  0.187  0.625  0.563  0.65
Ce  0.813  0.375  0.437  0.65

---

4.
Density functional theory data (GGA-PBE) for an optimized crystal structure of Tb5CeDy3.

Size of the total moment (μB/atom): 0.108
Formation energy from the elements (meV/atom): 448

Lattice parameters (Å, degrees): 9.263 9.263 12.634 52.17 52.17 51.54
Site moments in Bohr magnetons follow the coordinates.
Positions (direct):
Dy  0.304  0.304  0.311  -0.02
Dy  0.000  0.000  0.500  0.09
Dy  0.165  0.165  0.657  0.03
Dy  0.835  0.835  0.343  0.03
Dy  0.000  0.000  0.000  0.02
Dy  0.696  0.696  0.689  -0.02
Tb  0.443  0.443  0.429  -0.04
Tb  0.366  0.366  0.936  0.01
Tb  0.081  0.489  0.779  -0.01
Tb  0.489  0.081  0.779  -0.01
Tb  0.319  0.681  0.000  -0.01
Tb  0.557  0.557  0.571  -0.04
Tb  0.511  0.919  0.221  -0.01
Tb  0.634  0.634  0.064  0.01
Tb  0.681  0.319  0.000  -0.01
Tb  0.919  0.511  0.221  -0.01
Ce  0.896  0.896  0.868  0.81
Ce  0.104  0.104  0.132  0.81

---

5.
Density functional theory data (GGA-PBE) for an optimized crystal structure of Tb6CeDy8.

Size of the total moment (μB/atom): 0.082
Formation energy from the elements (meV/atom): 129

Lattice parameters (Å, degrees): 9.005 9.005 8.602 58.44 58.44 60.00
Site moments in Bohr magnetons follow the coordinates.
Positions (direct):
Dy  0.282  0.888  0.581  0.03
Dy  0.249  0.282  0.581  0.03
Dy  0.718  0.112  0.419  0.03
Dy  0.423  0.423  0.731  -0.03
Dy  0.751  0.718  0.419  0.03
Dy  0.112  0.751  0.419  0.03
Dy  0.888  0.249  0.581  0.03
Dy  0.577  0.577  0.269  -0.03
Tb  0.106  0.230  0.125  0.04
Tb  0.894  0.770  0.875  0.04
Tb  0.539  0.106  0.125  0.04
Tb  0.461  0.894  0.875  0.04
Tb  0.770  0.461  0.875  0.04
Tb  0.230  0.539  0.125  0.04
Ce  0.000  0.000  0.000  0.60

---

6.
Density functional theory data (GGA-PBE) for an optimized crystal structure of Tb5CeDy.

Size of the total moment (μB/atom): 0.212
Formation energy from the elements (meV/atom): 219

Lattice parameters (Å, degrees): 6.505 12.711 8.503 27.52 46.55 46.07
Site moments in Bohr magnetons follow the coordinates.
Positions (direct):
Dy  0.500  0.500  0.500  0.04
Ce  0.000  0.000  0.000  0.69
Tb  0.190  0.582  0.148  0.07
Tb  0.810  0.418  0.852  0.07
Tb  0.189  0.188  0.312  0.09
Tb  0.500  0.000  0.000  0.09
Tb  0.811  0.812  0.688  0.09

---

7.
Density functional theory data (GGA-PBE) for an optimized crystal structure of Tb4CeDy3.

Size of the total moment (μB/atom): 0.135
Formation energy from the elements (meV/atom): 47

Lattice parameters (Å, degrees): 5.029 10.040 10.026 90.00 90.00 90.00
Site moments in Bohr magnetons follow the coordinates.
Positions (direct):
Dy  0.564  0.376  0.249  0.06
Dy  0.564  0.376  0.751  0.06
Dy  0.564  0.623  0.000  0.03
Dy  0.064  0.377  0.500  0.03
Dy  0.064  0.624  0.749  0.06
Dy  0.064  0.624  0.251  0.06
Tb  0.564  0.125  0.500  -0.04
Tb  0.564  0.127  0.000  0.02
Tb  0.064  0.873  0.500  0.02
Tb  0.064  0.126  0.249  0.00
Tb  0.064  0.126  0.751  0.00
Tb  0.064  0.875  0.000  -0.04
Tb  0.564  0.874  0.749  0.00
Tb  0.564  0.874  0.251  0.00
Ce  0.564  0.625  0.500  0.75
Ce  0.064  0.375  0.000  0.75

---

8.
Density functional theory data (GGA-PBE) for an optimized crystal structure of Tb6Ce2Dy3.

Size of the total moment (μB/atom): 0.116
Formation energy from the elements (meV/atom): 43

Lattice parameters (Å, degrees): 3.536 3.536 31.853 86.82 86.82 60.00
Site moments in Bohr magnetons follow the coordinates.
Positions (direct):
Tb  0.818  0.818  0.547  0.01
Tb  0.182  0.182  0.453  0.01
Tb  0.091  0.091  0.726  0.01
Tb  0.364  0.364  0.909  0.00
Tb  0.636  0.636  0.091  0.00
Tb  0.909  0.909  0.274  0.01
Ce  0.545  0.545  0.364  -0.54
Ce  0.455  0.455  0.636  -0.54
Dy  0.727  0.727  0.818  0.00
Dy  0.000  0.000  0.000  0.01
Dy  0.273  0.273  0.182  0.00

---

9.
Density functional theory data (GGA-PBE) for an optimized crystal structure of Tb2CeDy.

Size of the total moment (μB/atom): 0.199
Formation energy from the elements (meV/atom): 56

Lattice parameters (Å, degrees): 3.538 3.538 11.729 81.33 81.33 60.00
Site moments in Bohr magnetons follow the coordinates.
Positions (direct):
Tb  0.250  0.250  0.250  0.01
Tb  0.083  0.083  0.751  0.01
Ce  0.501  0.501  0.498  0.68
Dy  0.666  0.666  0.001  -0.05

---

10.
Density functional theory data (GGA-PBE) for an optimized crystal structure of Tb9CeDy2.

Size of the total moment (μB/atom): 0.074
Formation energy from the elements (meV/atom): 35

Lattice parameters (Å, degrees): 5.027 5.027 15.078 90.00 90.00 90.00
Site moments in Bohr magnetons follow the coordinates.
Positions (direct):
Tb  0.000  0.500  0.165  0.02
Tb  0.500  0.500  0.335  -0.03
Tb  0.500  0.000  0.835  0.02
Tb  0.500  0.000  0.165  0.02
Tb  0.000  0.500  0.835  0.02
Tb  0.500  0.500  0.000  0.05
Tb  0.500  0.500  0.665  -0.03
Tb  0.500  0.000  0.500  0.01
Tb  0.000  0.500  0.500  0.01
Dy  0.000  0.000  0.333  -0.04
Dy  0.000  0.000  0.667  -0.04
Ce  0.000  0.000  0.000  0.70

---

11.
Density functional theory data (GGA-PBE) for an optimized crystal structure of Tb2CeDy8.

Size of the total moment (μB/atom): 0.103
Formation energy from the elements (meV/atom): 177

Lattice parameters (Å, degrees): 5.554 10.137 10.137 39.82 92.78 92.78
Site moments in Bohr magnetons follow the coordinates.
Positions (direct):
Dy  0.237  0.546  0.546  0.01
Dy  0.233  0.187  0.187  0.01
Dy  0.267  0.603  0.133  0.00
Dy  0.763  0.454  0.454  0.01
Dy  0.267  0.133  0.603  0.00
Dy  0.733  0.867  0.397  0.00
Dy  0.767  0.813  0.813  0.01
Dy  0.733  0.397  0.867  0.00
Tb  0.250  0.716  0.716  -0.04
Tb  0.750  0.284  0.284  -0.04
Ce  0.000  0.000  0.000  0.94

---

12.
Density functional theory data (GGA-PBE) for an optimized crystal structure of Tb2CeDy8.

Size of the total moment (μB/atom): 0.097
Formation energy from the elements (meV/atom): 37

Lattice parameters (Å, degrees): 5.013 7.928 9.381 104.67 105.50 90.00
Site moments in Bohr magnetons follow the coordinates.
Positions (direct):
Dy  0.320  0.092  0.639  0.00
Dy  0.591  0.454  0.181  0.01
Dy  0.045  0.730  0.090  0.03
Dy  0.409  0.546  0.819  0.01
Dy  0.136  0.181  0.272  0.04
Dy  0.864  0.819  0.728  0.04
Dy  0.680  0.908  0.361  0.00
Dy  0.955  0.270  0.910  0.03
Ce  0.500  0.000  0.000  0.76
Tb  0.772  0.363  0.543  -0.02
Tb  0.228  0.637  0.457  -0.02

---

13.
Density functional theory data (GGA-PBE) for an optimized crystal structure of TbCeDy.

Size of the total moment (μB/atom): 0.278
Formation energy from the elements (meV/atom): 94

Lattice parameters (Å, degrees): 5.359 3.452 10.165 99.78 90.01 90.00
Site moments in Bohr magnetons follow the coordinates.
Positions (direct):
Ce  0.847  0.785  0.994  0.64
Ce  0.347  0.204  0.830  0.63
Tb  0.347  0.039  0.497  0.01
Tb  0.847  0.951  0.327  0.01
Dy  0.847  0.615  0.650  0.03
Dy  0.347  0.374  0.173  0.03

---

14.
Density functional theory data (GGA-PBE) for an optimized crystal structure of Tb10CeDy6.

Size of the total moment (μB/atom): 0.059
Formation energy from the elements (meV/atom): 148

Lattice parameters (Å, degrees): 6.815 9.651 9.651 120.00 90.00 90.00
Site moments in Bohr magnetons follow the coordinates.
Positions (direct):
Tb  0.815  0.727  0.727  0.00
Tb  0.185  0.000  0.727  0.00
Tb  0.185  0.727  0.000  0.00
Tb  0.000  0.667  0.333  0.00
Tb  0.500  0.333  0.667  0.01
Tb  0.185  0.273  0.273  0.00
Tb  0.500  0.667  0.333  0.01
Tb  0.815  0.273  0.000  0.00
Tb  0.000  0.333  0.667  0.00
Tb  0.815  0.000  0.273  0.00
Dy  0.699  0.000  0.623  0.00
Dy  0.699  0.377  0.377  0.00
Dy  0.301  0.623  0.623  0.00
Dy  0.699  0.623  0.000  0.00
Dy  0.301  0.377  0.000  0.00
Dy  0.301  0.000  0.377  0.00
Ce  0.500  0.000  0.000  0.81

---

15.
Density functional theory data (GGA-PBE) for an optimized crystal structure of Tb2CeDy3.

Size of the total moment (μB/atom): 0.172
Formation energy from the elements (meV/atom): 52

Lattice parameters (Å, degrees): 5.024 10.009 9.376 122.26 105.54 90.00
Site moments in Bohr magnetons follow the coordinates.
Positions (direct):
Tb  0.334  0.334  0.667  0.00
Tb  0.666  0.666  0.333  0.00
Tb  0.666  0.166  0.333  0.00
Tb  0.334  0.834  0.667  0.00
Ce  0.000  0.000  0.000  0.75
Ce  0.000  0.500  0.000  0.75
Dy  0.836  0.086  0.671  0.01
Dy  0.164  0.414  0.329  0.01
Dy  0.836  0.586  0.671  0.01
Dy  0.164  0.914  0.329  0.01
Dy  0.500  0.250  0.000  0.07
Dy  0.500  0.750  0.000  0.07

---

16.
Density functional theory data (GGA-PBE) for an optimized crystal structure of Tb5CeDy4.

Size of the total moment (μB/atom): 0.000
Formation energy from the elements (meV/atom): 264

Lattice parameters (Å, degrees): 5.879 7.983 7.983 82.21 68.39 68.39
Positions (direct):
Ce  0.199  0.000  0.000
Dy  0.125  0.327  0.327
Dy  0.779  0.673  0.673
Dy  0.452  0.327  0.673
Dy  0.452  0.673  0.327
Tb  0.665  0.000  0.000
Tb  0.145  0.000  0.628
Tb  0.773  0.372  0.000
Tb  0.773  0.000  0.372
Tb  0.145  0.628  0.000

---

17.
Density functional theory data (GGA-PBE) for an optimized crystal structure of Tb3CeDy4.

Size of the total moment (μB/atom): 0.178
Formation energy from the elements (meV/atom): 42

Lattice parameters (Å, degrees): 6.247 7.226 11.335 90.00 90.00 90.00
Site moments in Bohr magnetons follow the coordinates.
Positions (direct):
Dy  0.484  0.874  0.750  0.05
Dy  0.984  0.126  0.250  0.05
Dy  0.147  0.873  0.500  0.05
Dy  0.146  0.875  0.000  0.06
Dy  0.646  0.125  0.500  0.06
Dy  0.984  0.126  0.750  0.05
Dy  0.647  0.127  0.000  0.05
Dy  0.484  0.874  0.250  0.05
Tb  0.649  0.623  0.000  0.02
Tb  0.479  0.375  0.250  0.06
Tb  0.479  0.375  0.750  0.06
Tb  0.979  0.625  0.750  0.06
Tb  0.979  0.625  0.250  0.06
Tb  0.149  0.377  0.500  0.02
Ce  0.147  0.377  0.000  0.77
Ce  0.647  0.623  0.500  0.77

---

18.
Density functional theory data (GGA-PBE) for an optimized crystal structure of TbCeDy2.

Size of the total moment (μB/atom): 0.120
Formation energy from the elements (meV/atom): 66

Lattice parameters (Å, degrees): 4.991 5.001 5.001 90.00 90.00 90.00
Site moments in Bohr magnetons follow the coordinates.
Positions (direct):
Dy  0.000  0.500  0.000  0.00
Dy  0.000  0.000  0.500  0.00
Ce  0.500  0.500  0.500  0.45
Tb  0.500  0.000  0.000  -0.01

---

19.
Density functional theory data (GGA-PBE) for an optimized crystal structure of Tb2CeDy7.

Size of the total moment (μB/atom): 0.087
Formation energy from the elements (meV/atom): 36

Lattice parameters (Å, degrees): 3.537 11.757 10.620 123.45 119.89 81.42
Site moments in Bohr magnetons follow the coordinates.
Positions (direct):
Dy  0.998  0.401  0.799  -0.01
Dy  0.499  0.298  0.099  0.02
Dy  0.501  0.702  0.901  0.02
Dy  0.500  0.500  0.500  -0.01
Dy  0.002  0.802  0.602  0.01
Dy  0.002  0.599  0.201  -0.01
Dy  0.998  0.198  0.398  0.01
Ce  0.000  0.000  0.000  0.70
Tb  0.497  0.899  0.297  0.00
Tb  0.503  0.101  0.703  0.00

---

20.
Density functional theory data (GGA-PBE) for an optimized crystal structure of Tb4CeDy.

Size of the total moment (μB/atom): 0.142
Formation energy from the elements (meV/atom): 29

Lattice parameters (Å, degrees): 3.576 6.196 17.261 96.77 90.00 90.00
Site moments in Bohr magnetons follow the coordinates.
Positions (direct):
Ce  0.000  0.000  0.000  0.69
Ce  0.500  0.000  0.500  0.69
Tb  0.500  0.110  0.835  0.01
Tb  0.000  0.110  0.335  0.01
Tb  0.000  0.387  0.167  -0.01
Tb  0.500  0.613  0.333  -0.01
Tb  0.500  0.387  0.667  -0.01
Tb  0.000  0.890  0.665  0.01
Tb  0.000  0.613  0.833  -0.01
Tb  0.500  0.890  0.165  0.01
Dy  0.000  0.500  0.500  0.03
Dy  0.500  0.500  0.000  0.03